Below is an optimized crystal structure of NdPd4Au3, with properties calculated at the GGA-PBE level.

Values from the calculation:
Energy: -4.8401 eV/atom
Energy of formation: -0.419 eV per atom

Cell and atoms, written as POSCAR:
```
NdPd4Au3
1.0
9.401 0.000 0.000
0.000 6.151 0.000
0.000 0.000 5.014
Nd Pd Au
2 8 6
direct
0.000 0.000 0.000 Nd
0.500 0.000 0.000 Nd
0.000 0.261 0.500 Pd
0.000 0.739 0.500 Pd
0.250 0.270 0.148 Pd
0.250 0.730 0.148 Pd
0.500 0.261 0.500 Pd
0.500 0.739 0.500 Pd
0.750 0.270 0.852 Pd
0.750 0.730 0.852 Pd
0.000 0.500 0.000 Au
0.250 0.000 0.592 Au
0.250 0.500 0.652 Au
0.500 0.500 0.000 Au
0.750 0.000 0.408 Au
0.750 0.500 0.348 Au
```